# 1
Here is crystalline KTl2InRh at its relaxed geometry from Alexandria. Energies are from PBE.

```
KTl2InRh
1.0
-5.1864 -1.3386 0.0847
0.3763 -1.1276 5.2235
-1.2592 4.9518 1.1597
K Tl In Rh
1 2 1 1
direct
0.5000 0.5000 0.5000 K
0.0000 0.5000 0.0000 Tl
0.5000 0.0000 0.0000 Tl
0.0000 0.0000 0.5000 In
0.0000 0.0000 0.0000 Rh
```

ΔH_f (0 K) = -0.1146 eV/atom
SG = P4/mmm

# 2
Here is crystalline KTlIn2Rh at its relaxed geometry from Alexandria. Energies are from PBE.

```
KTlIn2Rh
1.0
5.2344 0.0000 0.0000
0.0000 5.2344 0.0000
0.0000 0.0000 5.3515
Tl In K Rh
1 2 1 1
direct
0.0000 0.0000 0.5000 Tl
0.5000 0.0000 0.0000 In
0.0000 0.5000 0.0000 In
0.5000 0.5000 0.5000 K
0.0000 0.0000 0.0000 Rh
```

ΔH_f (0 K) = -0.1698 eV/atom
SG = P4/mmm

no.,ρ (g/cm3)
1,7.351
2,6.523